Record 1
Here is crystalline HfBIN2 at its relaxed geometry from Alexandria via LeMat-Bulk. Energies are from PBE.

```
data_HfBIN2
_cell_length_a 3.893
_cell_length_b 3.893
_cell_length_c 4.403
_cell_angle_alpha 90.00
_cell_angle_beta 90.00
_cell_angle_gamma 90.00
_symmetry_space_group_name_H-M 'P 1'
_symmetry_Int_Tables_number 1
loop_
_symmetry_equiv_pos_as_xyz
'x,y,z'
loop_
_atom_site_label
_atom_site_type_symbol
_atom_site_fract_x
_atom_site_fract_y
_atom_site_fract_z
Hf1 Hf 0.000 0.000 0.000
B1 B 0.500 0.500 0.500
I1 I 0.500 0.500 0.000
N1 N 0.000 0.500 0.500
N2 N 0.500 0.000 0.500
```

Summary:
**Fermi-level density of states**: 0.20 states/eV per atom
**V**: 13.34 Å³ per atom
**Uncorrected formation energy**: 1542 meV per atom
**Energy**: -5.425 eV/atom
**ΔE to the lowest computed polymorph**: 468 meV/atom
**SG**: P4/mmm



Record 2
Here is crystalline BeCdTe2I at its relaxed geometry from Alexandria via LeMat-Bulk. Energies are from PBE.

```
data_BeCdTe2I
_cell_length_a 5.176
_cell_length_b 5.176
_cell_length_c 5.126
_cell_angle_alpha 90.00
_cell_angle_beta 90.00
_cell_angle_gamma 90.00
_symmetry_space_group_name_H-M 'P 1'
_symmetry_Int_Tables_number 1
loop_
_symmetry_equiv_pos_as_xyz
'x,y,z'
loop_
_atom_site_label
_atom_site_type_symbol
_atom_site_fract_x
_atom_site_fract_y
_atom_site_fract_z
Be1 Be 0.000 0.000 0.000
Cd1 Cd 0.500 0.500 0.500
Te1 Te 0.000 0.500 0.000
Te2 Te 0.500 0.000 0.000
I1 I 0.000 0.000 0.500
```

Summary:
**Fermi-level density of states**: 0.78 states/eV per atom
**V**: 27.47 Å³ per atom
**Uncorrected formation energy**: 294 meV per atom
**Energy**: -2.201 eV/atom
**ΔE to the lowest computed polymorph**: 0 meV/atom
**SG**: P4/mmm



Record 3
Here is crystalline Na2In5Hg4 at its relaxed geometry from Alexandria via LeMat-Bulk. Energies are from PBE.

```
data_Na2In5Hg4
_cell_length_a 7.706
_cell_length_b 7.706
_cell_length_c 7.706
_cell_angle_alpha 133.58
_cell_angle_beta 108.46
_cell_angle_gamma 89.65
_symmetry_space_group_name_H-M 'P 1'
_symmetry_Int_Tables_number 1
loop_
_symmetry_equiv_pos_as_xyz
'x,y,z'
loop_
_atom_site_label
_atom_site_type_symbol
_atom_site_fract_x
_atom_site_fract_y
_atom_site_fract_z
Na1 Na 0.177 0.177 0.000
Na2 Na 0.823 0.823 0.000
In1 In 0.000 0.500 0.500
In2 In 0.327 0.250 0.578
In3 In 0.327 0.750 0.077
In4 In 0.673 0.250 0.923
In5 In 0.673 0.750 0.422
Hg1 Hg 0.077 0.746 0.331
Hg2 Hg 0.416 0.746 0.669
Hg3 Hg 0.584 0.254 0.331
Hg4 Hg 0.923 0.254 0.669
```

Summary:
**Fermi-level density of states**: 0.27 states/eV per atom
**V**: 27.19 Å³ per atom
**Energy**: -1.680 eV/atom
**ΔE to the lowest computed polymorph**: 0 meV/atom
**SG**: Immm
**Energy of formation from the pure elements**: -8.2 kJ/mol of atoms



Record 4
Here is crystalline CdBi2HRh at its relaxed geometry from Alexandria via LeMat-Bulk. Energies are from PBE.

```
data_CdBi2HRh
_cell_length_a 5.572
_cell_length_b 5.572
_cell_length_c 3.404
_cell_angle_alpha 90.00
_cell_angle_beta 90.00
_cell_angle_gamma 90.00
_symmetry_space_group_name_H-M 'P 1'
_symmetry_Int_Tables_number 1
loop_
_symmetry_equiv_pos_as_xyz
'x,y,z'
loop_
_atom_site_label
_atom_site_type_symbol
_atom_site_fract_x
_atom_site_fract_y
_atom_site_fract_z
Cd1 Cd 0.000 0.000 0.000
Bi1 Bi 0.000 0.500 0.500
Bi2 Bi 0.500 0.000 0.500
H1 H 0.500 0.500 0.000
Rh1 Rh 0.500 0.500 0.500
```

Summary:
**Fermi-level density of states**: 0.54 states/eV per atom
**V**: 21.14 Å³ per atom
**Energy**: -3.806 eV/atom
**ΔE to the lowest computed polymorph**: 0 meV/atom
**SG**: P4/mmm



Record 5
Here is crystalline Ce2Tl3AuSe6 at its relaxed geometry from Alexandria via LeMat-Bulk. Energies are from PBE.

```
data_Ce2Tl3AuSe6
_cell_length_a 7.530
_cell_length_b 7.530
_cell_length_c 7.945
_cell_angle_alpha 97.02
_cell_angle_beta 97.02
_cell_angle_gamma 123.98
_symmetry_space_group_name_H-M 'P 1'
_symmetry_Int_Tables_number 1
loop_
_symmetry_equiv_pos_as_xyz
'x,y,z'
loop_
_atom_site_label
_atom_site_type_symbol
_atom_site_fract_x
_atom_site_fract_y
_atom_site_fract_z
Ce1 Ce 0.167 0.833 0.000
Ce2 Ce 0.833 0.167 0.000
Tl1 Tl 0.000 0.000 0.500
Tl2 Tl 0.348 0.652 0.500
Tl3 Tl 0.652 0.348 0.500
Au1 Au 0.500 0.500 0.000
Se1 Se 0.046 0.432 0.770
Se2 Se 0.246 0.246 0.175
Se3 Se 0.432 0.046 0.770
Se4 Se 0.568 0.954 0.230
Se5 Se 0.754 0.754 0.825
Se6 Se 0.954 0.568 0.230
```

Summary:
**V**: 30.07 Å³ per atom
**Uncorrected formation energy**: -947 meV per atom
**Energy**: -4.543 eV/atom
**SG**: C2/m